1.
{"formula": "Ta2BePdI", "functional": "GGA-PBEsol", "state": "optimized geometry", "lattice_angstrom": [[4.949, 0.000, 0.000], [0.000, 4.949, 0.000], [0.000, 0.000, 4.747]], "species": ["Ta", "Ta", "Be", "Pd", "I"], "frac_coords": [[0.000, 0.500, 0.000], [0.500, 0.000, 0.000], [0.000, 0.000, 0.500], [0.500, 0.500, 0.500], [0.500, 0.500, 0.000]], "mass_density_g_cm3": 8.63, "space_group": "No. 123", "total_magnetization_mub_per_atom": 0.000, "crystal_system": "tetragonal"}

=====

2.
{"formula": "BeTe2PtI", "functional": "GGA-PBEsol", "state": "optimized geometry", "lattice_angstrom": [[4.874, 0.000, 0.000], [0.000, 4.874, 0.000], [0.000, 0.000, 4.770]], "species": ["Be", "Te", "Te", "Pt", "I"], "frac_coords": [[0.000, 0.000, 0.000], [0.000, 0.500, 0.000], [0.500, 0.000, 0.000], [0.500, 0.500, 0.500], [0.000, 0.000, 0.500]], "mass_density_g_cm3": 8.59, "space_group": "No. 123", "total_magnetization_mub_per_atom": 0.000, "crystal_system": "tetragonal"}

=====

3.
{"formula": "BeReI2", "functional": "GGA-PBEsol", "state": "optimized geometry", "lattice_angstrom": [[5.780, 0.000, 0.000], [0.000, 5.780, 0.000], [0.000, 0.000, 11.269]], "species": ["Be", "Be", "Be", "Be", "Re", "Re", "Re", "Re", "I", "I", "I", "I", "I", "I", "I", "I"], "frac_coords": [[0.000, 0.000, 0.000], [0.000, 0.500, 0.250], [0.500, 0.000, 0.750], [0.500, 0.500, 0.500], [0.000, 0.000, 0.500], [0.000, 0.500, 0.750], [0.500, 0.000, 0.250], [0.500, 0.500, 0.000], [0.226, 0.250, 0.125], [0.250, 0.726, 0.375], [0.250, 0.774, 0.875], [0.274, 0.250, 0.625], [0.726, 0.750, 0.625], [0.750, 0.226, 0.875], [0.750, 0.274, 0.375], [0.774, 0.750, 0.125]], "mass_density_g_cm3": 7.92, "space_group": "No. 122", "total_magnetization_mub_per_atom": 0.000, "polymorph_energy_mev_per_atom": 0, "crystal_system": "tetragonal"}

=====

4.
{"formula": "BeReI2", "functional": "GGA-PBEsol", "state": "optimized geometry", "lattice_angstrom": [[6.672, 0.000, 0.000], [0.000, 6.672, 0.000], [0.000, 0.000, 6.672]], "species": ["Be", "Be", "Be", "Be", "Re", "Re", "Re", "Re", "I", "I", "I", "I", "I", "I", "I", "I"], "frac_coords": [[0.000, 0.000, 0.000], [0.000, 0.500, 0.500], [0.500, 0.000, 0.500], [0.500, 0.500, 0.000], [0.000, 0.000, 0.500], [0.000, 0.500, 0.000], [0.500, 0.000, 0.000], [0.500, 0.500, 0.500], [0.250, 0.250, 0.250], [0.250, 0.250, 0.750], [0.250, 0.750, 0.250], [0.250, 0.750, 0.750], [0.750, 0.250, 0.250], [0.750, 0.250, 0.750], [0.750, 0.750, 0.250], [0.750, 0.750, 0.750]], "mass_density_g_cm3": 10.04, "space_group": "No. 225", "total_magnetization_mub_per_atom": 0.000, "polymorph_energy_mev_per_atom": 144, "crystal_system": "cubic"}

=====

5.
{"formula": "Be2ReSnI", "functional": "GGA-PBEsol", "state": "optimized geometry", "lattice_angstrom": [[4.543, 0.000, 0.000], [0.000, 4.543, 0.000], [0.000, 0.000, 5.158]], "species": ["Be", "Be", "Re", "Sn", "I"], "frac_coords": [[0.000, 0.500, 0.000], [0.500, 0.000, 0.000], [0.000, 0.000, 0.000], [0.000, 0.000, 0.500], [0.500, 0.500, 0.500]], "mass_density_g_cm3": 7.02, "space_group": "No. 123", "total_magnetization_mub_per_atom": 0.087, "crystal_system": "tetragonal"}

=====

6.
{"formula": "BeTcRh2I", "functional": "GGA-PBEsol", "state": "optimized geometry", "lattice_angstrom": [[4.695, 0.000, 0.000], [0.000, 4.695, 0.000], [0.000, 0.000, 4.766]], "species": ["Be", "Tc", "Rh", "Rh", "I"], "frac_coords": [[0.000, 0.000, 0.000], [0.500, 0.500, 0.000], [0.000, 0.500, 0.500], [0.500, 0.000, 0.500], [0.500, 0.500, 0.500]], "mass_density_g_cm3": 6.95, "space_group": "No. 123", "total_magnetization_mub_per_atom": 0.212, "crystal_system": "tetragonal"}

=====

7.
{"formula": "BeS2I", "functional": "GGA-PBEsol", "state": "optimized geometry", "lattice_angstrom": [[3.607, 0.000, 0.000], [-1.804, 3.124, 0.000], [0.000, 0.000, 24.267]], "species": ["Be", "Be", "Be", "S", "S", "S", "S", "S", "S", "I", "I", "I"], "frac_coords": [[0.000, 0.000, 0.000], [0.333, 0.667, 0.667], [0.667, 0.333, 0.333], [0.000, 0.000, 0.078], [0.000, 0.000, 0.922], [0.333, 0.667, 0.588], [0.333, 0.667, 0.745], [0.667, 0.333, 0.255], [0.667, 0.333, 0.412], [0.000, 0.000, 0.500], [0.333, 0.667, 0.167], [0.667, 0.333, 0.833]], "mass_density_g_cm3": 3.64, "space_group": "No. 166", "total_magnetization_mub_per_atom": 0.000, "crystal_system": "trigonal"}

=====

8.
{"formula": "BeSb2SI", "functional": "GGA-PBEsol", "state": "optimized geometry", "lattice_angstrom": [[5.204, 0.000, 0.000], [0.000, 5.204, 0.000], [0.000, 0.000, 5.169]], "species": ["Be", "Sb", "Sb", "S", "I"], "frac_coords": [[0.000, 0.000, 0.000], [0.000, 0.500, 0.500], [0.500, 0.000, 0.500], [0.500, 0.500, 0.500], [0.500, 0.500, 0.000]], "mass_density_g_cm3": 4.88, "space_group": "No. 123", "total_magnetization_mub_per_atom": 0.001, "crystal_system": "tetragonal"}

=====

9.
{"formula": "TiBe2SI", "functional": "GGA-PBEsol", "state": "optimized geometry", "lattice_angstrom": [[4.160, 0.000, 0.000], [0.000, 4.160, 0.000], [0.000, 0.000, 4.738]], "species": ["Ti", "Be", "Be", "S", "I"], "frac_coords": [[0.000, 0.000, 0.000], [0.000, 0.500, 0.500], [0.500, 0.000, 0.500], [0.000, 0.000, 0.500], [0.500, 0.500, 0.000]], "mass_density_g_cm3": 4.55, "space_group": "No. 123", "total_magnetization_mub_per_atom": 0.104, "crystal_system": "tetragonal"}

=====

10.
{"formula": "BeSbI3", "functional": "GGA-PBEsol", "state": "optimized geometry", "lattice_angstrom": [[5.902, 0.000, 0.000], [0.000, 5.902, 0.000], [0.000, 0.000, 5.902]], "species": ["Be", "Sb", "I", "I", "I"], "frac_coords": [[0.000, 0.000, 0.000], [0.500, 0.500, 0.500], [0.000, 0.500, 0.500], [0.500, 0.000, 0.500], [0.500, 0.500, 0.000]], "mass_density_g_cm3": 4.13, "space_group": "No. 221", "total_magnetization_mub_per_atom": 0.039, "crystal_system": "cubic"}

=====

11.
{"formula": "BeSiSb2I", "functional": "GGA-PBEsol", "state": "optimized geometry", "lattice_angstrom": [[4.897, 0.000, 0.000], [0.000, 4.897, 0.000], [0.000, 0.000, 4.955]], "species": ["Be", "Si", "Sb", "Sb", "I"], "frac_coords": [[0.000, 0.000, 0.000], [0.500, 0.500, 0.500], [0.000, 0.500, 0.000], [0.500, 0.000, 0.000], [0.000, 0.000, 0.500]], "mass_density_g_cm3": 5.69, "space_group": "No. 123", "total_magnetization_mub_per_atom": 0.000, "crystal_system": "tetragonal"}

=====

12.
{"formula": "BeSnSbI2", "functional": "GGA-PBEsol", "state": "optimized geometry", "lattice_angstrom": [[5.817, 0.000, 0.000], [0.000, 5.817, 0.000], [0.000, 0.000, 5.774]], "species": ["Be", "Sn", "Sb", "I", "I"], "frac_coords": [[0.000, 0.000, 0.000], [0.500, 0.500, 0.500], [0.500, 0.500, 0.000], [0.000, 0.500, 0.500], [0.500, 0.000, 0.500]], "mass_density_g_cm3": 4.28, "space_group": "No. 123", "total_magnetization_mub_per_atom": 0.112, "crystal_system": "tetragonal"}

=====

For the records above, the corresponding calculated total energy values read -26.43; -15.90; -64.77; -62.46; -22.14; -24.02; -37.82; -14.17; -20.51; -11.05; -17.08; -11.99 eV/cell.
For the records above, the corresponding energy relative to the elements, uncorrected values read 2.080; 0.777; 1.168; 1.313; 1.044; 1.857; 0.482; 1.020; 0.392; 0.562; 0.709; 0.872 eV per atom.